A crystal of CoRe2BiRh relaxed with PBEsol. Source: Alexandria via LeMat-Bulk, functional meta-GGA SCAN.

Cell: 4.672 4.672 4.520 Å, 90.00 90.00 90.00°
Sites, in units of the cell vectors:
Co (0.000, 0.000, 0.000)
Re (0.000, 0.500, 0.500)
Re (0.500, 0.000, 0.500)
Bi (0.500, 0.500, 0.000)
Rh (0.000, 0.000, 0.500)

Energy relative to the elements: 1794 meV per atom
Calculated total energy: -52.5763 eV/atom
N(E_F): 0.96 states/eV/atom


A crystal of Co2TcBiRh relaxed with PBEsol. Source: Alexandria via LeMat-Bulk, functional meta-GGA SCAN.

Cell: 4.518 4.518 4.582 Å, 90.00 90.00 90.00°
Sites, in units of the cell vectors:
Co (0.000, 0.500, 0.000)
Co (0.500, 0.000, 0.000)
Tc (0.000, 0.000, 0.500)
Bi (0.500, 0.500, 0.500)
Rh (0.000, 0.000, 0.000)

Energy relative to the elements: 1211 meV per atom
Calculated total energy: -35.1925 eV/atom
N(E_F): 1.05 states/eV/atom


A crystal of ZrCoBiRh2 relaxed with PBEsol. Source: Alexandria via LeMat-Bulk, functional meta-GGA SCAN.

Cell: 4.644 4.644 5.501 Å, 90.00 90.00 90.00°
Sites, in units of the cell vectors:
Zr (0.000, 0.000, 0.000)
Co (0.500, 0.500, 0.500)
Bi (0.000, 0.000, 0.500)
Rh (0.000, 0.500, 0.000)
Rh (0.500, 0.000, 0.000)

Energy relative to the elements: 1224 meV per atom
Calculated total energy: -37.6013 eV/atom
N(E_F): 0.81 states/eV/atom


A crystal of CoBiRu3 relaxed with PBEsol. Source: Alexandria via LeMat-Bulk, functional meta-GGA SCAN.

Cell: 4.845 4.845 4.845 Å, 90.00 90.00 90.00°
Sites, in units of the cell vectors:
Co (0.000, 0.000, 0.000)
Bi (0.500, 0.500, 0.500)
Ru (0.000, 0.500, 0.500)
Ru (0.500, 0.000, 0.500)
Ru (0.500, 0.500, 0.000)

Energy relative to the elements: 2438 meV per atom
Calculated total energy: -37.6343 eV/atom
N(E_F): 0.60 states/eV/atom